DFT (PBE-GGA) results for Dy8In2Fe after structural relaxation.

Unit cell a=17.1445 b=5.5359 c=6.8566 alpha=90.00 beta=113.36 gamma=90.00
With the nearest neighbours (Å) after each atom.
Space group C2/m (No. 12)
One atom of each set of equivalent atoms:
1 Dy 0.0016 0.0000 0.2594  2 Fe 3.23, 8 Dy 3.32-3.54, 2 In 3.37-3.44
2 Dy 0.1173 0.5000 0.8831  1 Fe 2.60
3 Dy 0.1238 0.5000 0.3711  1 Fe 2.60
4 Dy 0.1950 0.0000 0.7044  8 Dy 3.34-3.50, 4 In 3.35-3.49
5 In 0.1849 0.0000 0.1863  12 Dy 3.35-3.61
6 Fe 0.0000 0.5000 0.5000  4 Dy 2.60

Results
- Formation enthalpy at 0 K: -0.1721 eV/atom